Material: Ce5Al2Au12
Method: DFT, PBE
State: relaxed

a b c (Å): 6.8468 7.6324 8.8128
angles (deg): 64.34 88.01 90.00
Site moments in Bohr magnetons follow the coordinates.
Sites, in units of the cell vectors:
Au (0.2570, 0.0381, 0.3064)  0.01
Al (0.0000, 0.7209, 0.0000)  0.00
Ce (0.9698, 0.2965, 0.4069)  0.81
Au (0.7430, 0.3445, 0.6936)  0.01
Au (0.7278, 0.5498, 0.9005)  0.00
Au (0.3398, 0.8008, 0.7863)  0.01
Au (0.2570, 0.6555, 0.3064)  0.01
Ce (0.5814, 0.7542, 0.4915)  0.71
Ce (0.0302, 0.7035, 0.5931)  0.81
Ce (0.5000, 0.0000, 0.0000)  0.94
Au (0.7430, 0.9619, 0.6936)  0.01
Ce (0.4186, 0.2458, 0.5085)  0.71
Al (0.0000, 0.2791, 0.0000)  0.00
Au (0.2722, 0.4502, 0.0995)  0.00
Au (0.6602, 0.5871, 0.2137)  0.01
Au (0.0840, 0.0934, 0.8133)  0.01
Au (0.9160, 0.9066, 0.1867)  0.01
Au (0.6602, 0.1992, 0.2137)  0.01
Au (0.3398, 0.4129, 0.7863)  0.01

Formation energy ... -0.541 eV per atom